Model 1:
Material: Pr4TmMg
Method: DFT, PBE
State: relaxed

## Properties
* density: 6.3 g cm⁻³

```
data_Pr4TmMg
_chemical_formula_sum 'Pr4 Tm1 Mg1'
_cell_length_a 3.711
_cell_length_b 3.711
_cell_length_c 14.456
_cell_angle_alpha 90.00
_cell_angle_beta 90.00
_cell_angle_gamma 90.00
_symmetry_space_group_name_H-M 'P 4/m m m'
_symmetry_Int_Tables_number 123
_symmetry_space_group_name_Hall '-P 4 2'
loop_
_atom_site_label
_atom_site_type_symbol
_atom_site_fract_x
_atom_site_fract_y
_atom_site_fract_z
Pr1 Pr 0.000 0.000 0.152
Pr2 Pr 0.500 0.500 0.329
Tm1 Tm 0.000 0.000 0.500
Mg1 Mg 0.500 0.500 0.000
```


Model 2:
Material: Pr4TmMg
Method: DFT, PBE
State: relaxed

## Properties
* density: 5.2 g cm⁻³

```
data_Pr4TmMg
_chemical_formula_sum 'Pr8 Tm2 Mg2'
_cell_length_a 9.119
_cell_length_b 9.142
_cell_length_c 5.748
_cell_angle_alpha 90.00
_cell_angle_beta 90.00
_cell_angle_gamma 90.00
_symmetry_space_group_name_H-M 'C m m m'
_symmetry_Int_Tables_number 65
_symmetry_space_group_name_Hall '-C 2 2'
loop_
_atom_site_label
_atom_site_type_symbol
_atom_site_fract_x
_atom_site_fract_y
_atom_site_fract_z
Pr1 Pr 0.000 0.174 0.000
Pr2 Pr 0.172 0.500 0.500
Tm1 Tm 0.000 0.000 0.500
Mg1 Mg 0.000 0.500 0.000
```


Which structure wins on stability? model 1 wins.


Model 1:
Material: Pr3Tm4Mg
Method: DFT, PBE
State: relaxed

## Properties
* density: 7.4 g cm⁻³

```
data_Pr3Tm4Mg
_chemical_formula_sum 'Pr6 Tm8 Mg2'
_cell_length_a 11.323
_cell_length_b 7.193
_cell_length_c 6.218
_cell_angle_alpha 90.00
_cell_angle_beta 90.00
_cell_angle_gamma 90.00
_symmetry_space_group_name_H-M 'P m n 21'
_symmetry_Int_Tables_number 31
loop_
_symmetry_equiv_pos_as_xyz
'x,y,z'
'-x+1/2,-y,z+1/2'
'-x,y,z'
'x+1/2,-y,z+1/2'
loop_
_atom_site_label
_atom_site_type_symbol
_atom_site_fract_x
_atom_site_fract_y
_atom_site_fract_z
Pr1 Pr 0.000 0.132 0.000
Pr2 Pr 0.240 0.122 0.649
Tm1 Tm 0.000 0.389 0.473
Tm2 Tm 0.000 0.624 0.984
Tm3 Tm 0.245 0.621 0.648
Mg1 Mg 0.000 0.861 0.486
```


Model 2:
Material: Pr3Tm4Mg
Method: DFT, PBE
State: relaxed

## Properties
* density: 7.4 g cm⁻³

```
data_Pr3Tm4Mg
_chemical_formula_sum 'Pr6 Tm8 Mg2'
_cell_length_a 4.914
_cell_length_b 5.037
_cell_length_c 20.382
_cell_angle_alpha 90.00
_cell_angle_beta 90.00
_cell_angle_gamma 90.00
_symmetry_space_group_name_H-M 'I m m m'
_symmetry_Int_Tables_number 71
_symmetry_space_group_name_Hall '-I 2 2'
loop_
_atom_site_label
_atom_site_type_symbol
_atom_site_fract_x
_atom_site_fract_y
_atom_site_fract_z
Pr1 Pr 0.000 0.000 0.000
Pr2 Pr 0.000 0.500 0.126
Tm1 Tm 0.000 0.000 0.248
Tm2 Tm 0.000 0.500 0.372
Mg1 Mg 0.000 0.000 0.500
```


Which structure wins on stability? model 1 wins.


Model 1:
Material: Pr8TmMg2
Method: DFT, PBE
State: relaxed

## Properties
* density: 5.9 g cm⁻³

```
data_Pr8TmMg2
_chemical_formula_sum 'Pr16 Tm2 Mg4'
_cell_length_a 9.071
_cell_length_b 15.999
_cell_length_c 5.864
_cell_angle_alpha 90.00
_cell_angle_beta 116.91
_cell_angle_gamma 90.00
_symmetry_space_group_name_H-M 'C 1 2/m 1'
_symmetry_Int_Tables_number 12
loop_
_symmetry_equiv_pos_as_xyz
'x,y,z'
'-x,-y,-z'
'-x,y,-z'
'x,-y,z'
'x+1/2,y+1/2,z'
'-x+1/2,-y+1/2,-z'
'-x+1/2,y+1/2,-z'
'x+1/2,-y+1/2,z'
loop_
_atom_site_label
_atom_site_type_symbol
_atom_site_fract_x
_atom_site_fract_y
_atom_site_fract_z
Pr1 Pr 0.000 0.210 0.000
Pr2 Pr 0.092 0.500 0.795
Pr3 Pr 0.209 0.113 0.636
Tm1 Tm 0.000 0.000 0.000
Mg1 Mg 0.000 0.306 0.500
```


Model 2:
Material: Pr8TmMg2
Method: DFT, PBE
State: relaxed

## Properties
* density: 6.1 g cm⁻³

```
data_Pr8TmMg2
_chemical_formula_sum 'Pr16 Tm2 Mg4'
_cell_length_a 18.017
_cell_length_b 5.200
_cell_length_c 8.298
_cell_angle_alpha 90.00
_cell_angle_beta 108.62
_cell_angle_gamma 90.00
_symmetry_space_group_name_H-M 'C 1 2/m 1'
_symmetry_Int_Tables_number 12
loop_
_symmetry_equiv_pos_as_xyz
'x,y,z'
'-x,-y,-z'
'-x,y,-z'
'x,-y,z'
'x+1/2,y+1/2,z'
'-x+1/2,-y+1/2,-z'
'-x+1/2,y+1/2,-z'
'x+1/2,-y+1/2,z'
loop_
_atom_site_label
_atom_site_type_symbol
_atom_site_fract_x
_atom_site_fract_y
_atom_site_fract_z
Pr1 Pr 0.050 0.000 0.236
Pr2 Pr 0.095 0.500 0.960
Pr3 Pr 0.140 0.000 0.697
Pr4 Pr 0.184 0.500 0.437
Tm1 Tm 0.000 0.500 0.500
Mg1 Mg 0.227 0.000 0.133
```


Which structure wins on stability? model 2 wins.


Model 1:
Material: Pr8Tm2Mg
Method: DFT, PBE
State: relaxed

## Properties
* density: 6.1 g cm⁻³

```
data_Pr8Tm2Mg
_chemical_formula_sum 'Pr16 Tm4 Mg2'
_cell_length_a 11.978
_cell_length_b 11.564
_cell_length_c 6.046
_cell_angle_alpha 90.00
_cell_angle_beta 102.76
_cell_angle_gamma 90.00
_symmetry_space_group_name_H-M 'C 1 2/m 1'
_symmetry_Int_Tables_number 12
loop_
_symmetry_equiv_pos_as_xyz
'x,y,z'
'-x,-y,-z'
'-x,y,-z'
'x,-y,z'
'x+1/2,y+1/2,z'
'-x+1/2,-y+1/2,-z'
'-x+1/2,y+1/2,-z'
'x+1/2,-y+1/2,z'
loop_
_atom_site_label
_atom_site_type_symbol
_atom_site_fract_x
_atom_site_fract_y
_atom_site_fract_z
Pr1 Pr 0.081 0.000 0.293
Pr2 Pr 0.109 0.261 0.774
Pr3 Pr 0.229 0.000 0.914
Tm1 Tm 0.132 0.500 0.487
Mg1 Mg 0.000 0.500 0.000
```


Model 2:
Material: Pr8Tm2Mg
Method: DFT, PBE
State: relaxed

## Properties
* density: 6.3 g cm⁻³

```
data_Pr8Tm2Mg
_chemical_formula_sum 'Pr16 Tm4 Mg2'
_cell_length_a 10.528
_cell_length_b 13.404
_cell_length_c 5.527
_cell_angle_alpha 90.00
_cell_angle_beta 90.14
_cell_angle_gamma 90.00
_symmetry_space_group_name_H-M 'C 1 m 1'
_symmetry_Int_Tables_number 8
loop_
_symmetry_equiv_pos_as_xyz
'x,y,z'
'x,-y,z'
'x+1/2,y+1/2,z'
'x+1/2,-y+1/2,z'
loop_
_atom_site_label
_atom_site_type_symbol
_atom_site_fract_x
_atom_site_fract_y
_atom_site_fract_z
Pr1 Pr 0.000 0.000 0.000
Pr2 Pr 0.001 0.362 0.501
Pr3 Pr 0.172 0.138 0.499
Pr4 Pr 0.173 0.500 0.000
Pr5 Pr 0.336 0.253 0.000
Tm1 Tm 0.336 0.380 0.500
Mg1 Mg 0.337 0.000 0.000
```


Which structure wins on stability? model 2 wins.


Model 1:
Material: PrTm2Mg2
Method: DFT, PBE
State: relaxed

## Properties
* density: 6.1 g cm⁻³

```
data_PrTm2Mg2
_chemical_formula_sum 'Pr2 Tm4 Mg4'
_cell_length_a 3.741
_cell_length_b 5.477
_cell_length_c 14.064
_cell_angle_alpha 90.00
_cell_angle_beta 97.65
_cell_angle_gamma 90.00
_symmetry_space_group_name_H-M 'P 1 21/m 1'
_symmetry_Int_Tables_number 11
loop_
_symmetry_equiv_pos_as_xyz
'x,y,z'
'-x,-y,-z'
'-x,y+1/2,-z'
'x,-y+1/2,z'
loop_
_atom_site_label
_atom_site_type_symbol
_atom_site_fract_x
_atom_site_fract_y
_atom_site_fract_z
Pr1 Pr 0.151 0.250 0.302
Tm1 Tm 0.044 0.750 0.089
Tm2 Tm 0.238 0.750 0.475
Mg1 Mg 0.360 0.250 0.720
Mg2 Mg 0.449 0.750 0.899
```


Model 2:
Material: PrTm2Mg2
Method: DFT, PBE
State: relaxed

## Properties
* density: 5.5 g cm⁻³

```
data_PrTm2Mg2
_chemical_formula_sum 'Pr4 Tm8 Mg8'
_cell_length_a 4.910
_cell_length_b 4.910
_cell_length_c 26.320
_cell_angle_alpha 90.00
_cell_angle_beta 90.00
_cell_angle_gamma 90.00
_symmetry_space_group_name_H-M 'I 4/m m m'
_symmetry_Int_Tables_number 139
_symmetry_space_group_name_Hall '-I 4 2'
loop_
_atom_site_label
_atom_site_type_symbol
_atom_site_fract_x
_atom_site_fract_y
_atom_site_fract_z
Pr1 Pr 0.000 0.000 0.132
Tm1 Tm 0.000 0.000 0.428
Tm2 Tm 0.000 0.500 0.250
Mg1 Mg 0.000 0.000 0.320
Mg2 Mg 0.000 0.500 0.000
```


Which structure wins on stability? model 1 wins.


Model 1:
Material: PrYTmMg
Method: DFT, PBE
State: relaxed

## Properties
* density: 5.8 g cm⁻³

```
data_PrYTmMg
_chemical_formula_sum 'Pr1 Y1 Tm1 Mg1'
_cell_length_a 3.694
_cell_length_b 3.694
_cell_length_c 8.935
_cell_angle_alpha 90.00
_cell_angle_beta 90.00
_cell_angle_gamma 90.00
_symmetry_space_group_name_H-M 'P 4 m m'
_symmetry_Int_Tables_number 99
loop_
_symmetry_equiv_pos_as_xyz
'x,y,z'
'-y,x,z'
'-x,-y,z'
'y,-x,z'
'-x,y,z'
'y,x,z'
'x,-y,z'
'-y,-x,z'
loop_
_atom_site_label
_atom_site_type_symbol
_atom_site_fract_x
_atom_site_fract_y
_atom_site_fract_z
Pr1 Pr 0.000 0.000 0.000
Y1 Y 0.500 0.500 0.714
Tm1 Tm 0.500 0.500 0.276
Mg1 Mg 0.000 0.000 0.492
```


Model 2:
Material: PrYTmMg
Method: DFT, PBE
State: relaxed

## Properties
* density: 5.8 g cm⁻³

```
data_PrYTmMg
_chemical_formula_sum 'Pr4 Y4 Tm4 Mg4'
_cell_length_a 7.862
_cell_length_b 7.862
_cell_length_c 7.862
_cell_angle_alpha 90.00
_cell_angle_beta 90.00
_cell_angle_gamma 90.00
_symmetry_space_group_name_H-M 'F -4 3 m'
_symmetry_Int_Tables_number 216
_symmetry_space_group_name_Hall 'F -4 2 3'
loop_
_atom_site_label
_atom_site_type_symbol
_atom_site_fract_x
_atom_site_fract_y
_atom_site_fract_z
Pr1 Pr 0.000 0.000 0.000
Y1 Y 0.000 0.000 0.500
Tm1 Tm 0.250 0.250 0.250
Mg1 Mg 0.250 0.250 0.750
```


Which structure wins on stability? model 1 wins.


Model 1:
Material: Pr2Y6Mg
Method: DFT, PBE
State: relaxed

## Properties
* density: 4.7 g cm⁻³

```
data_Pr2Y6Mg
_chemical_formula_sum 'Pr4 Y12 Mg2'
_cell_length_a 10.053
_cell_length_b 7.213
_cell_length_c 8.477
_cell_angle_alpha 90.00
_cell_angle_beta 103.72
_cell_angle_gamma 90.00
_symmetry_space_group_name_H-M 'C 1 2/m 1'
_symmetry_Int_Tables_number 12
loop_
_symmetry_equiv_pos_as_xyz
'x,y,z'
'-x,-y,-z'
'-x,y,-z'
'x,-y,z'
'x+1/2,y+1/2,z'
'-x+1/2,-y+1/2,-z'
'-x+1/2,y+1/2,-z'
'x+1/2,-y+1/2,z'
loop_
_atom_site_label
_atom_site_type_symbol
_atom_site_fract_x
_atom_site_fract_y
_atom_site_fract_z
Pr1 Pr 0.233 0.000 0.460
Y1 Y 0.041 0.259 0.709
Y2 Y 0.179 0.500 0.073
Mg1 Mg 0.000 0.000 0.000
```


Model 2:
Material: Pr2Y6Mg
Method: DFT, PBE
State: relaxed

## Properties
* density: 4.8 g cm⁻³

```
data_Pr2Y6Mg
_chemical_formula_sum 'Pr4 Y12 Mg2'
_cell_length_a 10.687
_cell_length_b 10.687
_cell_length_c 5.089
_cell_angle_alpha 90.00
_cell_angle_beta 90.00
_cell_angle_gamma 90.00
_symmetry_space_group_name_H-M 'P 42/m n m'
_symmetry_Int_Tables_number 136
_symmetry_space_group_name_Hall '-P 4n 2n'
loop_
_atom_site_label
_atom_site_type_symbol
_atom_site_fract_x
_atom_site_fract_y
_atom_site_fract_z
Pr1 Pr 0.166 0.166 0.000
Y1 Y 0.000 0.333 0.500
Y2 Y 0.166 0.834 0.000
Mg1 Mg 0.000 0.000 0.500
```


Which structure wins on stability? model 2 wins.


Model 1:
Material: PrYMg2
Method: DFT, PBE
State: relaxed

## Properties
* density: 4.0 g cm⁻³

```
data_PrYMg2
_chemical_formula_sum 'Pr1 Y1 Mg2'
_cell_length_a 5.430
_cell_length_b 5.430
_cell_length_c 3.886
_cell_angle_alpha 90.00
_cell_angle_beta 90.00
_cell_angle_gamma 90.00
_symmetry_space_group_name_H-M 'P 4/m m m'
_symmetry_Int_Tables_number 123
_symmetry_space_group_name_Hall '-P 4 2'
loop_
_atom_site_label
_atom_site_type_symbol
_atom_site_fract_x
_atom_site_fract_y
_atom_site_fract_z
Pr1 Pr 0.000 0.000 0.000
Y1 Y 0.500 0.500 0.000
Mg1 Mg 0.000 0.500 0.500
```


Model 2:
Material: PrYMg2
Method: DFT, PBE
State: relaxed

## Properties
* density: 3.9 g cm⁻³

```
data_PrYMg2
_chemical_formula_sum 'Pr3 Y3 Mg6'
_cell_length_a 3.5067
_cell_length_b 3.5067
_cell_length_c 33.5261
_cell_angle_alpha 90.00
_cell_angle_beta 90.00
_cell_angle_gamma 120.00
_symmetry_space_group_name_H-M 'R 3 m'
_symmetry_Int_Tables_number 160
_symmetry_space_group_name_Hall 'R 3 -2"'
loop_
_atom_site_label
_atom_site_type_symbol
_atom_site_fract_x
_atom_site_fract_y
_atom_site_fract_z
Pr1 Pr 0.0000 0.0000 0.0000
Y1 Y 0.0000 0.0000 0.1692
Mg1 Mg 0.0000 0.0000 0.5826
Mg2 Mg 0.0000 0.0000 0.7537
```


Which structure wins on stability? model 1 wins.


Model 1:
Material: Pr8Y2Mg
Method: DFT, PBE
State: relaxed

## Properties
* density: 5.8 g cm⁻³

```
data_Pr8Y2Mg
_chemical_formula_sum 'Pr16 Y4 Mg2'
_cell_length_a 16.622
_cell_length_b 6.854
_cell_length_c 6.868
_cell_angle_alpha 90.00
_cell_angle_beta 101.27
_cell_angle_gamma 90.00
_symmetry_space_group_name_H-M 'C 1 2/m 1'
_symmetry_Int_Tables_number 12
loop_
_symmetry_equiv_pos_as_xyz
'x,y,z'
'-x,-y,-z'
'-x,y,-z'
'x,-y,z'
'x+1/2,y+1/2,z'
'-x+1/2,-y+1/2,-z'
'-x+1/2,y+1/2,-z'
'x+1/2,-y+1/2,z'
loop_
_atom_site_label
_atom_site_type_symbol
_atom_site_fract_x
_atom_site_fract_y
_atom_site_fract_z
Pr1 Pr 0.080 0.242 0.385
Pr2 Pr 0.099 0.000 0.923
Pr3 Pr 0.247 0.500 0.327
Y1 Y 0.183 0.500 0.806
Mg1 Mg 0.000 0.500 0.000
```


Model 2:
Material: Pr8Y2Mg
Method: DFT, PBE
State: relaxed

## Properties
* density: 5.7 g cm⁻³

```
data_Pr8Y2Mg
_chemical_formula_sum 'Pr16 Y4 Mg2'
_cell_length_a 5.720
_cell_length_b 7.786
_cell_length_c 17.417
_cell_angle_alpha 90.00
_cell_angle_beta 90.00
_cell_angle_gamma 90.00
_symmetry_space_group_name_H-M 'I m m m'
_symmetry_Int_Tables_number 71
_symmetry_space_group_name_Hall '-I 2 2'
loop_
_atom_site_label
_atom_site_type_symbol
_atom_site_fract_x
_atom_site_fract_y
_atom_site_fract_z
Pr1 Pr 0.000 0.000 0.176
Pr2 Pr 0.000 0.218 0.366
Pr3 Pr 0.000 0.267 0.000
Y1 Y 0.000 0.500 0.195
Mg1 Mg 0.000 0.500 0.500
```


Which structure wins on stability? model 2 wins.


Model 1:
Material: PrYMg4
Method: DFT, PBE
State: relaxed

## Properties
* density: 3.4 g cm⁻³

```
data_PrYMg4
_chemical_formula_sum 'Pr4 Y4 Mg16'
_cell_length_a 8.629
_cell_length_b 8.629
_cell_length_c 8.629
_cell_angle_alpha 90.00
_cell_angle_beta 90.00
_cell_angle_gamma 90.00
_symmetry_space_group_name_H-M 'F -4 3 m'
_symmetry_Int_Tables_number 216
_symmetry_space_group_name_Hall 'F -4 2 3'
loop_
_atom_site_label
_atom_site_type_symbol
_atom_site_fract_x
_atom_site_fract_y
_atom_site_fract_z
Pr1 Pr 0.000 0.000 0.000
Y1 Y 0.250 0.250 0.250
Mg1 Mg 0.125 0.125 0.625
```


Model 2:
Material: PrYMg4
Method: DFT, PBE
State: relaxed

## Properties
* density: 3.4 g cm⁻³

```
data_PrYMg4
_chemical_formula_sum 'Pr1 Y1 Mg4'
_cell_length_a 3.351
_cell_length_b 5.278
_cell_length_c 9.155
_cell_angle_alpha 90.00
_cell_angle_beta 90.00
_cell_angle_gamma 90.00
_symmetry_space_group_name_H-M 'P m m m'
_symmetry_Int_Tables_number 47
loop_
_symmetry_equiv_pos_as_xyz
'x,y,z'
'-x,-y,-z'
'-x,-y,z'
'x,y,-z'
'x,-y,-z'
'-x,y,z'
'-x,y,-z'
'x,-y,z'
loop_
_atom_site_label
_atom_site_type_symbol
_atom_site_fract_x
_atom_site_fract_y
_atom_site_fract_z
Pr1 Pr 0.000 0.000 0.000
Y1 Y 0.000 0.500 0.500
Mg1 Mg 0.500 0.000 0.338
Mg2 Mg 0.500 0.500 0.173
```


Which structure wins on stability? model 1 wins.


Model 1:
Material: PrYMg
Method: DFT, PBE
State: relaxed

## Properties
* density: 4.4 g cm⁻³

```
data_PrYMg
_chemical_formula_sum 'Pr4 Y4 Mg4'
_cell_length_a 6.167
_cell_length_b 6.167
_cell_length_c 10.129
_cell_angle_alpha 90.00
_cell_angle_beta 90.00
_cell_angle_gamma 90.00
_symmetry_space_group_name_H-M 'I 41 m d'
_symmetry_Int_Tables_number 109
_symmetry_space_group_name_Hall 'I 4bw -2'
loop_
_atom_site_label
_atom_site_type_symbol
_atom_site_fract_x
_atom_site_fract_y
_atom_site_fract_z
Pr1 Pr 0.000 0.000 0.000
Y1 Y 0.000 0.000 0.646
Mg1 Mg 0.000 0.000 0.332
```


Model 2:
Material: PrYMg
Method: DFT, PBE
State: relaxed

## Properties
* density: 4.6 g cm⁻³

```
data_PrYMg
_chemical_formula_sum 'Pr2 Y2 Mg2'
_cell_length_a 3.784
_cell_length_b 3.784
_cell_length_c 12.889
_cell_angle_alpha 90.00
_cell_angle_beta 90.00
_cell_angle_gamma 90.00
_symmetry_space_group_name_H-M 'I 4 m m'
_symmetry_Int_Tables_number 107
_symmetry_space_group_name_Hall 'I 4 -2'
loop_
_atom_site_label
_atom_site_type_symbol
_atom_site_fract_x
_atom_site_fract_y
_atom_site_fract_z
Pr1 Pr 0.000 0.000 0.000
Y1 Y 0.000 0.000 0.688
Mg1 Mg 0.000 0.000 0.337
```


Which structure wins on stability? model 2 wins.